[1]
# Pm4AlZnHg2, relaxed, DFT GGA-PBE
# ΔE_f, eV per atom: -0.38
# DOS(E_F), states/eV/f.u.: 10.083
# Crystal system: trigonal
data_Pm4AlZnHg2
_chemical_formula_sum 'Pm4 Al1 Zn1 Hg2'
_cell_length_a 9.2259
_cell_length_b 9.2259
_cell_length_c 9.2259
_cell_angle_alpha 33.50
_cell_angle_beta 33.50
_cell_angle_gamma 33.50
_space_group_name_H-M_alt 'P 1'
_space_group_IT_number 1
loop_
_space_group_symop_operation_xyz
'x,y,z'
loop_
_atom_site_label
_atom_site_fract_x
_atom_site_fract_y
_atom_site_fract_z
_atom_site_occupancy
Pm1 0.1240 0.1240 0.1240 1
Pm2 0.3740 0.3740 0.3740 1
Pm3 0.6260 0.6260 0.6260 1
Pm4 0.8760 0.8760 0.8760 1
Al1 0.5000 0.5000 0.5000 1
Zn1 0.0000 0.0000 0.0000 1
Hg1 0.2494 0.2494 0.2494 1
Hg2 0.7506 0.7506 0.7506 1

[2]
# Hf8Sb2C3, relaxed, DFT GGA-PBE
# ΔE_f (raw), meV/atom: -439
# DOS(E_F), states/eV/f.u.: 10.418
# Crystal system: monoclinic
data_Hf8Sb2C3
_chemical_formula_sum 'Hf8 Sb2 C3'
_cell_length_a 7.6758
_cell_length_b 7.6758
_cell_length_c 5.9273
_cell_angle_alpha 103.55
_cell_angle_beta 103.55
_cell_angle_gamma 51.23
_space_group_name_H-M_alt 'P 1'
_space_group_IT_number 1
loop_
_space_group_symop_operation_xyz
'x,y,z'
loop_
_atom_site_label
_atom_site_fract_x
_atom_site_fract_y
_atom_site_fract_z
_atom_site_occupancy
Hf1 0.0907 0.0907 0.9226 1
Hf2 0.1600 0.6647 0.6163 1
Hf3 0.3353 0.8400 0.3837 1
Hf4 0.4113 0.4113 0.1176 1
Hf5 0.5887 0.5887 0.8824 1
Hf6 0.6647 0.1600 0.6163 1
Hf7 0.8400 0.3353 0.3837 1
Hf8 0.9093 0.9093 0.0774 1
Sb1 0.2493 0.2493 0.6973 1
Sb2 0.7507 0.7507 0.3027 1
C1 0.2623 0.7377 0.0000 1
C2 0.5000 0.5000 0.5000 1
C3 0.7377 0.2623 0.0000 1

[3]
# DyPtSe, relaxed, DFT GGA-PBE
# ΔE_f (raw), meV/atom: -998
# DOS(E_F), states/eV/f.u.: 1.619
# Crystal system: triclinic
data_DyPtSe
_chemical_formula_sum 'Dy2 Pt2 Se2'
_cell_length_a 4.0860
_cell_length_b 4.3093
_cell_length_c 9.6106
_cell_angle_alpha 77.43
_cell_angle_beta 78.06
_cell_angle_gamma 89.97
_space_group_name_H-M_alt 'P 1'
_space_group_IT_number 1
loop_
_space_group_symop_operation_xyz
'x,y,z'
loop_
_atom_site_label
_atom_site_fract_x
_atom_site_fract_y
_atom_site_fract_z
_atom_site_occupancy
Dy1 0.1900 0.1905 0.1233 1
Dy2 0.8100 0.8095 0.8767 1
Pt1 0.3404 0.3403 0.8130 1
Pt2 0.6596 0.6597 0.1870 1
Se1 0.4180 0.9164 0.6562 1
Se2 0.5820 0.0836 0.3438 1

[4]
# TlSnP, relaxed, DFT GGA-PBE
# Offset from the most stable computed form, eV per atom: 0.009
# ΔE_f, eV per atom: 0.00
# DOS(E_F), states/eV/f.u.: 0.072
# Crystal system: orthorhombic
data_TlSnP
_chemical_formula_sum 'Tl4 Sn4 P4'
_cell_length_a 3.9201
_cell_length_b 18.0000
_cell_length_c 5.2834
_cell_angle_alpha 90.00
_cell_angle_beta 90.00
_cell_angle_gamma 90.00
_space_group_name_H-M_alt 'P 1'
_space_group_IT_number 1
loop_
_space_group_symop_operation_xyz
'x,y,z'
loop_
_atom_site_label
_atom_site_fract_x
_atom_site_fract_y
_atom_site_fract_z
_atom_site_occupancy
Tl1 0.0000 0.0651 0.0000 1
Tl2 0.0000 0.9349 0.5000 1
Tl3 0.5000 0.4349 0.5000 1
Tl4 0.5000 0.5651 0.0000 1
Sn1 0.0000 0.3211 0.8313 1
Sn2 0.0000 0.6789 0.3313 1
Sn3 0.5000 0.1789 0.3313 1
Sn4 0.5000 0.8211 0.8313 1
P1 0.0000 0.1863 0.6529 1
P2 0.0000 0.8137 0.1529 1
P3 0.5000 0.3137 0.1529 1
P4 0.5000 0.6863 0.6529 1

[5]
# BC2I, relaxed, DFT GGA-PBE
# ΔE_f (raw), meV/atom: 1558
# Offset from the most stable computed form, eV per atom: 0.000
# DOS(E_F), states/eV/f.u.: 1.784
# Crystal system: tetragonal
data_BC2I
_chemical_formula_sum 'B4 C8 I4'
_cell_length_a 4.8230
_cell_length_b 4.8230
_cell_length_c 8.2128
_cell_angle_alpha 90.00
_cell_angle_beta 90.00
_cell_angle_gamma 90.00
_space_group_name_H-M_alt 'P 1'
_space_group_IT_number 1
loop_
_space_group_symop_operation_xyz
'x,y,z'
loop_
_atom_site_label
_atom_site_fract_x
_atom_site_fract_y
_atom_site_fract_z
_atom_site_occupancy
B1 0.0000 0.0000 0.0000 1
B2 0.0000 0.5000 0.2500 1
B3 0.5000 0.0000 0.7500 1
B4 0.5000 0.5000 0.5000 1
C1 0.1023 0.2500 0.1250 1
C2 0.2500 0.6023 0.3750 1
C3 0.2500 0.8977 0.8750 1
C4 0.3977 0.2500 0.6250 1
C5 0.6023 0.7500 0.6250 1
C6 0.7500 0.1023 0.8750 1
C7 0.7500 0.3977 0.3750 1
C8 0.8977 0.7500 0.1250 1
I1 0.0000 0.0000 0.5000 1
I2 0.0000 0.5000 0.7500 1
I3 0.5000 0.0000 0.2500 1
I4 0.5000 0.5000 0.0000 1

[6]
# Cd2Hg4N3, relaxed, DFT GGA-PBE
# ΔE_f (raw), meV/atom: 645
# Crystal system: triclinic
data_Cd2Hg4N3
_chemical_formula_sum 'Cd4 Hg8 N6'
_cell_length_a 5.8661
_cell_length_b 8.6092
_cell_length_c 10.0442
_cell_angle_alpha 101.35
_cell_angle_beta 91.55
_cell_angle_gamma 91.09
_space_group_name_H-M_alt 'P 1'
_space_group_IT_number 1
loop_
_space_group_symop_operation_xyz
'x,y,z'
loop_
_atom_site_label
_atom_site_fract_x
_atom_site_fract_y
_atom_site_fract_z
_atom_site_occupancy
Cd1 0.1750 0.2670 0.1417 1
Cd2 0.2873 0.4988 0.8851 1
Cd3 0.7127 0.5012 0.1149 1
Cd4 0.8250 0.7330 0.8583 1
Hg1 0.1499 0.0243 0.4096 1
Hg2 0.1824 0.6258 0.3808 1
Hg3 0.3425 0.7691 0.7134 1
Hg4 0.4750 0.8722 0.1313 1
Hg5 0.5250 0.1278 0.8687 1
Hg6 0.6575 0.2309 0.2866 1
Hg7 0.8176 0.3742 0.6192 1
Hg8 0.8501 0.9757 0.5904 1
N1 0.0917 0.6043 0.7411 1
N2 0.3574 0.0810 0.2526 1
N3 0.4162 0.3267 0.9967 1
N4 0.5838 0.6733 0.0033 1
N5 0.6426 0.9190 0.7474 1
N6 0.9083 0.3957 0.2589 1

[7]
# CaNb2GeO, relaxed, DFT GGA-PBE
# ΔE_f (raw), meV/atom: -462
# DOS(E_F), states/eV/f.u.: 4.859
# Crystal system: tetragonal
data_CaNb2GeO
_chemical_formula_sum 'Ca1 Nb2 Ge1 O1'
_cell_length_a 4.1907
_cell_length_b 4.1907
_cell_length_c 5.2693
_cell_angle_alpha 90.00
_cell_angle_beta 90.00
_cell_angle_gamma 90.00
_space_group_name_H-M_alt 'P 1'
_space_group_IT_number 1
loop_
_space_group_symop_operation_xyz
'x,y,z'
loop_
_atom_site_label
_atom_site_fract_x
_atom_site_fract_y
_atom_site_fract_z
_atom_site_occupancy
Ca1 0.0000 0.0000 0.0000 1
Nb1 0.0000 0.5000 0.5000 1
Nb2 0.5000 0.0000 0.5000 1
Ge1 0.5000 0.5000 0.0000 1
O1 0.5000 0.5000 0.5000 1

[8]
# ScZnCo2, relaxed, DFT GGA-PBE
# ΔE_f, eV per atom: 0.03
# DOS(E_F), states/eV/f.u.: 4.494
# Crystal system: monoclinic
data_ScZnCo2
_chemical_formula_sum 'Sc2 Zn2 Co4'
_cell_length_a 5.4436
_cell_length_b 7.9114
_cell_length_c 2.7305
_cell_angle_alpha 90.00
_cell_angle_beta 110.69
_cell_angle_gamma 90.00
_space_group_name_H-M_alt 'P 1'
_space_group_IT_number 1
loop_
_space_group_symop_operation_xyz
'x,y,z'
loop_
_atom_site_label
_atom_site_fract_x
_atom_site_fract_y
_atom_site_fract_z
_atom_site_occupancy
Sc1 0.0000 0.0000 0.0000 1
Sc2 0.5000 0.5000 0.0000 1
Zn1 0.0000 0.5000 0.0000 1
Zn2 0.5000 0.0000 0.0000 1
Co1 0.2500 0.2500 0.5000 1
Co2 0.2500 0.7500 0.5000 1
Co3 0.7500 0.2500 0.5000 1
Co4 0.7500 0.7500 0.5000 1